## KMn2ZnW (PBE)

Data for a relaxed structure of KMn2ZnW.

The space group is P4/mmm (No. 123) and the conventional cell measures 4.5358, 4.5358 and 4.7846 Å, with angles of 90.00, 90.00 and 90.00 degrees. The asymmetric unit holds K at (0.0000, 0.0000, 0.0000), Mn at (0.0000, 0.5000, 0.5000), Zn at (0.0000, 0.0000, 0.5000) and W at (0.5000, 0.5000, 0.0000).

The value obtained for the calculated formation energy is 2.50 eV per atom. The density of states at the Fermi level is 2.12 states/eV per atom. The electronic total energy is -4.232 eV per atom.

## SrMnFe (PBE)

Data for a relaxed structure of SrMnFe.

The space group is I4mm (No. 107) and the conventional cell measures 3.3091, 3.3091 and 11.0581 Å, with angles of 90.00, 90.00 and 90.00 degrees. The asymmetric unit holds Sr at (0.0000, 0.0000, 0.0000), Mn at (0.0000, 0.0000, 0.2823) and Fe at (0.0000, 0.0000, 0.7106).

The value obtained for the calculated formation energy is 0.63 eV per atom. The density of states at the Fermi level is 1.03 states/eV per atom. The electronic total energy is -5.812 eV per atom.

## MgTaAu4 (PBE)

Data for a relaxed structure of MgTaAu4.

The space group is F-43m (No. 216) and the conventional cell measures 7.7130, 7.7130 and 7.7130 Å, with angles of 90.00, 90.00 and 90.00 degrees. The asymmetric unit holds Mg at (0.0000, 0.0000, 0.0000), Ta at (0.2500, 0.2500, 0.7500) and Au at (0.1249, 0.1249, 0.3751).

The value obtained for the calculated formation energy is 0.22 eV per atom. The density of states at the Fermi level is 1.11 states/eV per atom. The electronic total energy is -4.203 eV per atom.

## Li3TmI6 (PBE)

Data for a relaxed structure of Li3TmI6.

The space group is P-1 (No. 2) and the conventional cell measures 8.4051, 8.4068 and 8.4339 Å, with angles of 61.68, 61.67 and 61.47 degrees. The asymmetric unit holds Li at (0.0000, 0.0000, 0.0000), Li at (0.0000, 0.5000, 0.5000), Li at (0.5000, 0.0000, 0.5000), Tm at (0.5000, 0.5000, 0.5000), I at (0.2320, 0.7312, 0.2709), I at (0.2506, 0.2506, 0.7498) and I at (0.2732, 0.7640, 0.7333).

The density of states at the Fermi level is 0.00 states/eV per atom. For the formation energy from raw total energies, the calculation gives -1189 meV per atom. The electronic total energy is -3.140 eV per atom.

## RbBBr3 (PBE)

Data for a relaxed structure of RbBBr3.

The space group is P2_1/c (No. 14) and the conventional cell measures 7.4145, 7.9422 and 13.1147 Å, with angles of 90.00, 123.03 and 90.00 degrees. The asymmetric unit holds Rb at (0.2288, 0.0569, 0.2513), B at (0.0631, 0.5879, 0.0429), Br at (0.1569, 0.2336, 0.9742), Br at (0.2519, 0.7058, 0.9919) and Br at (0.2614, 0.5335, 0.2270).

The density of states at the Fermi level is 0.00 states/eV per atom. For the formation energy from raw total energies, the calculation gives -979 meV per atom. The electronic total energy is -3.512 eV per atom.

## Nd4Y2Th (PBE)

Data for a relaxed structure of Nd4Y2Th.

The space group is Imma (No. 74) and the conventional cell measures 6.8388, 11.6439 and 12.2478 Å, with angles of 90.00, 90.00 and 90.00 degrees. The asymmetric unit holds Nd at (0.0000, 0.0032, 0.1530), Nd at (0.2223, 0.2500, 0.9893), Y at (0.0000, 0.0000, 0.5000), Y at (0.0000, 0.2500, 0.7204) and Th at (0.2500, 0.2500, 0.2500).

The value obtained for the calculated formation energy is 0.29 eV per atom. The density of states at the Fermi level is 1.79 states/eV per atom. The electronic total energy is -5.339 eV per atom.

## TcHgSb3 (PBE)

Data for a relaxed structure of TcHgSb3.

The space group is Pm-3m (No. 221) and the conventional cell measures 5.1963, 5.1963 and 5.1963 Å, with angles of 90.00, 90.00 and 90.00 degrees. The asymmetric unit holds Tc at (0.0000, 0.0000, 0.0000), Hg at (0.5000, 0.5000, 0.5000) and Sb at (0.0000, 0.0000, 0.5000).

The density of states at the Fermi level is 0.25 states/eV per atom. For the formation energy from raw total energies, the calculation gives 407 meV per atom. The electronic total energy is -4.200 eV per atom.

## As2PbSe2 (PBE)

Data for a relaxed structure of As2PbSe2.

The space group is I4/mmm (No. 139) and the conventional cell measures 5.2627, 5.2627 and 9.5479 Å, with angles of 90.00, 90.00 and 90.00 degrees. The asymmetric unit holds As at (0.0000, 0.5000, 0.2500), Pb at (0.0000, 0.0000, 0.0000) and Se at (0.0000, 0.0000, 0.3203).

The density of states at the Fermi level is 0.30 states/eV per atom. For the formation energy from raw total energies, the calculation gives 147 meV per atom. The electronic total energy is -3.848 eV per atom.

## Pm2Zr (PBE)

Data for a relaxed structure of Pm2Zr.

The space group is I4/mmm (No. 139) and the conventional cell measures 3.4324, 3.4324 and 15.2211 Å, with angles of 90.00, 90.00 and 90.00 degrees. The asymmetric unit holds Pm at (0.0000, 0.0000, 0.1550) and Zr at (0.0000, 0.0000, 0.5000).

The value obtained for the calculated formation energy is 0.11 eV per atom. The density of states at the Fermi level is 1.37 states/eV per atom. The electronic total energy is -5.902 eV per atom.

## WAu (PBE)

Data for a relaxed structure of WAu.

The space group is P2_12_12_1 (No. 19) and the conventional cell measures 4.9952, 5.7558 and 9.3995 Å, with angles of 90.00, 90.00 and 90.00 degrees. The asymmetric unit holds W at (0.0036, 0.1434, 0.2351), W at (0.1610, 0.8657, 0.4928), Au at (0.0040, 0.1194, 0.7575) and Au at (0.1736, 0.3659, 0.4920).

The value obtained for the calculated formation energy is 0.43 eV per atom. The density of states at the Fermi level is 0.69 states/eV per atom. The electronic total energy is -7.690 eV per atom.

## MnRh3 (PBE)

Data for a relaxed structure of MnRh3.

The space group is Pmm2 (No. 25) and the conventional cell measures 2.7639, 4.3396 and 4.6537 Å, with angles of 90.00, 90.00 and 90.00 degrees. The asymmetric unit holds Mn at (0.0000, 0.0000, 0.0000), Rh at (0.0000, 0.5000, 0.3346), Rh at (0.5000, 0.0000, 0.4934) and Rh at (0.5000, 0.5000, 0.8376).

The value obtained for the calculated formation energy is -0.06 eV per atom. The density of states at the Fermi level is 1.46 states/eV per atom. The electronic total energy is -7.866 eV per atom.

## Pu8GaRh6 (PBE)

Data for a relaxed structure of Pu8GaRh6.

The space group is R-3 (No. 148, hexagonal axes) and the conventional cell measures 5.8714, 5.8714 and 28.5792 Å, with angles of 90.00, 90.00 and 120.00 degrees. The asymmetric unit holds Pu at (0.0000, 0.0000, 0.1372), Pu at (0.0011, 0.3325, 0.0237), Ga at (0.0000, 0.0000, 0.5000) and Rh at (0.0133, 0.4785, 0.8975).

The value obtained for the calculated formation energy is -0.23 eV per atom. The density of states at the Fermi level is 2.74 states/eV per atom. The electronic total energy is -11.013 eV per atom.

## K2AlNi (PBE)

Data for a relaxed structure of K2AlNi.

The space group is Imm2 (No. 44) and the conventional cell measures 3.8893, 5.7944 and 11.3532 Å, with angles of 90.00, 90.00 and 90.00 degrees. The asymmetric unit holds K at (0.0000, 0.0000, 0.0000), K at (0.0000, 0.5000, 0.1939), Al at (0.0000, 0.5000, 0.8018) and Ni at (0.0000, 0.0000, 0.4104).

The value obtained for the calculated formation energy is 0.30 eV per atom. The density of states at the Fermi level is 0.77 states/eV per atom. The electronic total energy is -2.631 eV per atom.

## Ta2Ge2Mo (PBE)

Data for a relaxed structure of Ta2Ge2Mo.

The space group is P4/mbm (No. 127) and the conventional cell measures 6.7337, 6.7337 and 3.6217 Å, with angles of 90.00, 90.00 and 90.00 degrees. The asymmetric unit holds Ta at (0.1629, 0.3371, 0.0000), Ge at (0.1377, 0.6377, 0.5000) and Mo at (0.0000, 0.0000, 0.5000).

The value obtained for the calculated formation energy is -0.18 eV per atom. The density of states at the Fermi level is 0.64 states/eV per atom. The electronic total energy is -8.937 eV per atom.

## PmLu6 (PBE)

Data for a relaxed structure of PmLu6.

The space group is Im-3m (No. 229) and the conventional cell measures 7.6440, 7.6440 and 7.6440 Å, with angles of 90.00, 90.00 and 90.00 degrees. The asymmetric unit holds Pm at (0.0000, 0.0000, 0.0000) and Lu at (0.0000, 0.2500, 0.5000).

The value obtained for the calculated formation energy is 1.63 eV per atom. The density of states at the Fermi level is 1.15 states/eV per atom. The electronic total energy is -2.927 eV per atom.

## CePr2As3 (PBE)

Data for a relaxed structure of CePr2As3.

The space group is Immm (No. 71) and the conventional cell measures 4.2782, 6.0483 and 12.8332 Å, with angles of 90.00, 90.00 and 90.00 degrees. The asymmetric unit holds Ce at (0.0000, 0.0000, 0.0000), Pr at (0.0000, 0.0000, 0.3327), As at (0.0000, 0.5000, 0.0000) and As at (0.0000, 0.5000, 0.3384).

The value obtained for the calculated formation energy is -1.48 eV per atom. The density of states at the Fermi level is 0.97 states/eV per atom. The electronic total energy is -6.389 eV per atom.

## TlPd2S (PBE)

Data for a relaxed structure of TlPd2S.

The space group is C2 (No. 5) and the conventional cell measures 12.2252, 5.6791 and 4.9769 Å, with angles of 90.00, 95.61 and 90.00 degrees. The asymmetric unit holds Tl at (0.1961, 0.0000, 0.2167), Pd at (0.1186, 0.7997, 0.6959), Pd at (0.1721, 0.4938, 0.2490), S at (0.0000, 0.4957, 0.5000) and S at (0.0000, 0.6224, 0.0000).

The density of states at the Fermi level is 0.38 states/eV per atom. For the formation energy from raw total energies, the calculation gives -33 meV per atom. The electronic total energy is -4.253 eV per atom.

## BaIr2Os (PBE)

Data for a relaxed structure of BaIr2Os.

The space group is Pmmm (No. 47) and the conventional cell measures 2.9244, 5.0380 and 5.2268 Å, with angles of 90.00, 90.00 and 90.00 degrees. The asymmetric unit holds Ba at (0.0000, 0.0000, 0.0000), Ir at (0.0000, 0.5000, 0.5000), Ir at (0.5000, 0.5000, 0.0000) and Os at (0.5000, 0.0000, 0.5000).

The value obtained for the calculated formation energy is 1.25 eV per atom. The density of states at the Fermi level is 1.40 states/eV per atom. The electronic total energy is -6.472 eV per atom.

## SmPuSi2 (PBE)

Data for a relaxed structure of SmPuSi2.

The space group is P4/mmm (No. 123) and the conventional cell measures 3.8038, 3.8038 and 6.0485 Å, with angles of 90.00, 90.00 and 90.00 degrees. The asymmetric unit holds Sm at (0.0000, 0.0000, 0.0000), Pu at (0.0000, 0.0000, 0.5000) and Si at (0.5000, 0.5000, 0.2895).

The density of states at the Fermi level is 2.06 states/eV per atom. For the formation energy from raw total energies, the calculation gives -375 meV per atom. The electronic total energy is -7.849 eV per atom.

## LiLaPb (PBE)

Data for a relaxed structure of LiLaPb.

The space group is F-43m (No. 216) and the conventional cell measures 7.4392, 7.4392 and 7.4392 Å, with angles of 90.00, 90.00 and 90.00 degrees. The asymmetric unit holds Li at (0.0000, 0.0000, 0.0000), La at (0.2500, 0.2500, 0.2500) and Pb at (0.0000, 0.0000, 0.5000).

The value obtained for the calculated formation energy is 0.01 eV per atom. The density of states at the Fermi level is 0.58 states/eV per atom. The electronic total energy is -3.503 eV per atom.